DFT (PBE) results for crystalline Ca4As2H at its relaxed geometry.

Summary:
DOS(E_F) ... 8.3 states/eV per cell
Electronic total energy ... -3.820 eV per atom
Crystal system ... orthorhombic
SG ... No. 62

abc: 8.4916 6.6820 12.2341
angles: 90.00 90.00 90.00
Closest atoms and distances in Å follow each position.
Sites, in units of the cell vectors:
Ca1 0.0588 0.2500 0.0778  1 H 2.24
Ca2 0.1647 0.5013 0.3479  1 H 2.26
Ca3 0.1647 0.9987 0.3479  1 H 2.26
Ca4 0.1866 0.2500 0.5996  1 H 2.26
Ca5 0.3134 0.7500 0.0996  1 H 2.26
Ca6 0.3353 0.0013 0.8479  1 H 2.26
Ca7 0.3353 0.4987 0.8479  1 H 2.26
Ca8 0.4412 0.7500 0.5778  1 H 2.24
Ca9 0.5588 0.2500 0.4222  1 H 2.24
Ca10 0.6647 0.5013 0.1521  1 H 2.26
Ca11 0.6647 0.9987 0.1521  1 H 2.26
Ca12 0.6866 0.2500 0.9004  1 H 2.26
Ca13 0.8134 0.7500 0.4004  1 H 2.26
Ca14 0.8353 0.0013 0.6521  1 H 2.26
Ca15 0.8353 0.4987 0.6521  1 H 2.26
Ca16 0.9412 0.7500 0.9222  1 H 2.24
As1 0.0192 0.2500 0.8255  7 Ca 2.97-3.17
As2 0.1030 0.7500 0.5517  6 Ca 2.89-3.08
As3 0.3970 0.2500 0.0517  6 Ca 2.89-3.08
As4 0.4808 0.7500 0.3255  7 Ca 2.97-3.17
As5 0.5192 0.2500 0.6745  7 Ca 2.97-3.17
As6 0.6030 0.7500 0.9483  6 Ca 2.89-3.08
As7 0.8970 0.2500 0.4483  6 Ca 2.89-3.08
As8 0.9808 0.7500 0.1745  7 Ca 2.97-3.17
H1 0.2042 0.7500 0.9309  4 Ca 2.24-2.26
H2 0.2958 0.2500 0.4309  4 Ca 2.24-2.26
H3 0.7042 0.7500 0.5691  4 Ca 2.24-2.26
H4 0.7958 0.2500 0.0691  4 Ca 2.24-2.26